Model i:
The following is a DFT calculation (PBE) of a relaxed KBaTc2 crystal.

Cell: 3.984 3.986 5.672 Å, 90.00 90.00 90.00°
Fractional positions:
Tc 0.500 0.500 0.000
Tc 0.000 0.000 0.000
K 0.000 0.500 0.500
Ba 0.500 0.000 0.500

Values from the calculation:
Its density of states at the Fermi level is 2.8 states/eV/f.u. The calculation puts the total moment at 0.000 μB per formula unit.



Model ii:
The following is a DFT calculation (PBE) of a relaxed KBaTc2 crystal.

Cell: 6.061 6.061 3.189 Å, 90.00 90.00 90.00°
Fractional positions:
Tc 0.000 0.000 0.000
Tc 0.500 0.500 0.000
Ba 0.500 0.000 0.500
K 0.000 0.500 0.500

Values from the calculation:
Its density of states at the Fermi level is 4.3 states/eV/f.u. The calculation puts the total moment at 5.963 μB per formula unit.



Of them, model i has the highest stability.



Model i:
The following is a DFT calculation (PBE) of a relaxed KBaTc2 crystal.

Cell: 6.540 6.540 6.540 Å, 146.33 127.42 63.90°
Fractional positions:
Tc 0.937 0.937 0.000
Tc 0.820 0.320 0.500
K 0.223 0.723 0.500
Ba 0.520 0.520 0.000

Values from the calculation:
Its density of states at the Fermi level is 3.2 states/eV/f.u. The calculation puts the total moment at 0.000 μB per formula unit.



Model ii:
The following is a DFT calculation (PBE) of a relaxed KBaTc2 crystal.

Cell: 5.577 3.132 7.900 Å, 66.75 90.00 90.00°
Fractional positions:
K 0.500 0.750 0.750
Tc 0.000 0.603 0.397
Tc 0.000 0.897 0.103
Ba 0.500 0.250 0.250

Values from the calculation:
Its density of states at the Fermi level is 4.9 states/eV/f.u. The calculation puts the total moment at 0.000 μB per formula unit.



Of them, model i has the highest stability.



Model i:
The following is a DFT calculation (PBE) of a relaxed KBa3Tc crystal.

Cell: 6.247 6.247 6.247 Å, 90.00 90.00 90.00°
Fractional positions:
K 0.500 0.500 0.500
Ba 0.500 0.000 0.000
Ba 0.000 0.000 0.500
Ba 0.000 0.500 0.000
Tc 0.000 0.000 0.000

Values from the calculation:
Its density of states at the Fermi level is 5.5 states/eV/f.u. The calculation puts the total moment at 1.134 μB per formula unit.



Model ii:
The following is a DFT calculation (PBE) of a relaxed KBa3Tc crystal.

Cell: 6.600 6.600 6.600 Å, 90.00 90.00 90.00°
Fractional positions:
Ba 0.500 0.000 0.000
Ba 0.000 0.500 0.000
Ba 0.000 0.000 0.500
Tc 0.500 0.500 0.500
K 0.000 0.000 0.000

Values from the calculation:
Its density of states at the Fermi level is 6.1 states/eV/f.u. The calculation puts the total moment at 1.083 μB per formula unit.



Of them, model i has the highest stability.